Entry from OQMD via LeMat-Bulk: a relaxed AlCo3 crystal (PBE).

```
data_AlCo3
_chemical_formula_sum 'Al6 Co18'
_cell_length_a 4.7589
_cell_length_b 4.7589
_cell_length_c 14.7040
_cell_angle_alpha 90.00
_cell_angle_beta 90.00
_cell_angle_gamma 120.00
_space_group_name_H-M_alt 'P 1'
_space_group_IT_number 1
loop_
_space_group_symop_operation_xyz
'x,y,z'
loop_
_atom_site_label
_atom_site_type_symbol
_atom_site_fract_x
_atom_site_fract_y
_atom_site_fract_z
Al1 Al 0.8354 0.1646 0.7500
Al2 Al 0.8354 0.6709 0.7500
Al3 Al 0.1646 0.3291 0.2500
Al4 Al 0.3291 0.1646 0.7500
Al5 Al 0.1646 0.8354 0.2500
Al6 Al 0.6709 0.8354 0.2500
Co1 Co 0.0000 0.0000 0.9075
Co2 Co 0.5000 0.0000 0.5000
Co3 Co 0.3333 0.6667 0.6501
Co4 Co 0.5000 0.0000 0.0000
Co5 Co 0.6667 0.3333 0.3499
Co6 Co 0.3333 0.6667 0.3760
Co7 Co 0.0000 0.5000 0.0000
Co8 Co 0.0000 0.0000 0.0925
Co9 Co 0.3333 0.6667 0.8499
Co10 Co 0.0000 0.0000 0.5925
Co11 Co 0.5000 0.5000 0.5000
Co12 Co 0.0000 0.0000 0.4075
Co13 Co 0.5000 0.5000 0.0000
Co14 Co 0.6667 0.3333 0.1501
Co15 Co 0.6667 0.3333 0.6240
Co16 Co 0.6667 0.3333 0.8760
Co17 Co 0.0000 0.5000 0.5000
Co18 Co 0.3333 0.6667 0.1240
```

Values from the calculation:
Space-group type = P6_3/mmc, No. 194
Crystal system = hexagonal
Energy = -0.4498 Ry/atom
M_tot = 4.42 μB/f.u.

Entry from OQMD via LeMat-Bulk: a relaxed Nd2ErN3 crystal (PBE).

```
data_Nd2ErN3
_chemical_formula_sum 'Nd2 Er1 N3'
_cell_length_a 3.5598
_cell_length_b 3.5598
_cell_length_c 8.7326
_cell_angle_alpha 90.00
_cell_angle_beta 90.00
_cell_angle_gamma 120.00
_space_group_name_H-M_alt 'P 1'
_space_group_IT_number 1
loop_
_space_group_symop_operation_xyz
'x,y,z'
loop_
_atom_site_label
_atom_site_type_symbol
_atom_site_fract_x
_atom_site_fract_y
_atom_site_fract_z
N1 N 0.6667 0.3333 0.6547
N2 N 0.3333 0.6667 0.3453
N3 N 0.0000 0.0000 0.0000
Nd1 Nd 0.6667 0.3333 0.1723
Nd2 Nd 0.3333 0.6667 0.8277
Er1 Er 0.0000 0.0000 0.5000
```

Values from the calculation:
Space-group type = P-3m1, No. 164
Crystal system = trigonal
Energy = -0.5867 Ry/atom
M_tot = 0.00 μB/f.u.

Entry from OQMD via LeMat-Bulk: a relaxed PrSnSbPt2 crystal (PBE).

```
data_PrSnSbPt2
_chemical_formula_sum 'Pr2 Sn2 Sb2 Pt4'
_cell_length_a 4.5579
_cell_length_b 4.5579
_cell_length_c 10.9118
_cell_angle_alpha 90.00
_cell_angle_beta 90.00
_cell_angle_gamma 90.00
_space_group_name_H-M_alt 'P 1'
_space_group_IT_number 1
loop_
_space_group_symop_operation_xyz
'x,y,z'
loop_
_atom_site_label
_atom_site_type_symbol
_atom_site_fract_x
_atom_site_fract_y
_atom_site_fract_z
Pt1 Pt 0.0000 0.5000 0.6318
Pt2 Pt 0.5000 0.0000 0.3682
Pt3 Pt 0.0000 0.0000 0.0000
Pt4 Pt 0.5000 0.5000 0.0000
Pr1 Pr 0.5000 0.0000 0.7649
Pr2 Pr 0.0000 0.5000 0.2351
Sn1 Sn 0.0000 0.0000 0.5000
Sn2 Sn 0.5000 0.5000 0.5000
Sb1 Sb 0.0000 0.5000 0.8693
Sb2 Sb 0.5000 0.0000 0.1307
```

Values from the calculation:
Space-group type = P4/nmm, No. 129
Crystal system = tetragonal
Energy = -0.4315 Ry/atom
M_tot = 0.00 μB/f.u.